First-principles (PBEsol) data for a relaxed Ti3In crystal, as listed in Alexandria via LeMat-Bulk.

ρ, kg/m3: 6171
Space-group type: Fm-3m
Total magnetization, Bohr magnetons per cell: 1.6
Calculated formation energy, eV/atom: -0.059

Unit cell a=4.616 b=4.616 c=4.616 alpha=60.00 beta=60.00 gamma=60.00
Each line ends with the local moment (μB).
Fractional positions:
In 0.500 0.500 0.500  -0.02
Ti 0.750 0.750 0.750  0.18
Ti 0.250 0.250 0.250  0.18
Ti 0.000 0.000 0.000  0.93